one) CsNb3Zn GGA-PBE relaxed; N(E_F) = 1.8 states/eV per cell; total magnetization = 0.000 μB per formula unit; density = 6.28 g/cm³; crystal system = cubic
1.0
-1.0801 -2.5591 4.1761
-1.8655 -3.7391 -2.7739
4.5286 -2.1507 -0.1466
Cs Nb Zn
1 3 1
direct
0.0000 0.0000 0.0000
0.0000 0.5000 0.0000
0.0000 0.0000 0.5000
0.5000 0.0000 0.0000
0.5000 0.5000 0.5000

two) CsNb3Zn GGA-PBE relaxed; N(E_F) = 9.1 states/eV per cell; total magnetization = 2.495 μB per formula unit; density = 6.35 g/cm³; crystal system = cubic
1.0
4.9976 0.0000 0.0000
0.0000 4.9976 0.0000
0.0000 0.0000 4.9976
Cs Nb Zn
1 3 1
direct
0.5000 0.5000 0.5000
0.0000 0.5000 0.0000
0.0000 0.0000 0.5000
0.5000 0.0000 0.0000
0.0000 0.0000 0.0000

Preferred: two); penalty for the next structure: 0.840 eV/atom.

one) Cs2Nb2Zn GGA-PBE relaxed; N(E_F) = 4.8 states/eV per cell; total magnetization = 0.000 μB per formula unit; density = 4.77 g/cm³; crystal system = tetragonal
1.0
-1.9566 -3.1995 -0.0150
1.2070 -0.7543 3.4698
-10.4902 4.1864 6.5859
Cs Nb Zn
2 2 1
direct
0.3923 0.3923 0.2154
0.6077 0.6077 0.7846
0.7500 0.2500 0.5000
0.2500 0.7500 0.5000
0.0000 0.0000 0.0000

two) Cs2Nb2Zn GGA-PBE relaxed; N(E_F) = 18.3 states/eV per cell; total magnetization = 0.000 μB per formula unit; density = 3.63 g/cm³; crystal system = tetragonal
1.0
11.5966 0.0000 0.0000
0.0000 11.5966 0.0000
0.0000 0.0000 3.5188
Cs Nb Zn
4 4 2
direct
0.2855 0.7855 0.0000
0.7855 0.7145 0.0000
0.7145 0.2145 0.0000
0.2145 0.2855 0.0000
0.0651 0.5651 0.5000
0.5651 0.9349 0.5000
0.9349 0.4349 0.5000
0.4349 0.0651 0.5000
0.0000 0.0000 0.0000
0.5000 0.5000 0.0000

Preferred: one); penalty for the next structure: 0.486 eV/atom.

one) CsZrNb2 GGA-PBE relaxed; N(E_F) = 5.5 states/eV per cell; total magnetization = 0.000 μB per formula unit; density = 7.50 g/cm³; crystal system = cubic
1.0
0.0000 3.5675 3.5675
3.5675 0.0000 3.5675
3.5675 3.5675 0.0000
Cs Nb Zr
1 2 1
direct
0.5000 0.5000 0.5000
0.2500 0.2500 0.2500
0.7500 0.7500 0.7500
0.0000 0.0000 0.0000

two) CsZrNb2 GGA-PBE relaxed; N(E_F) = 14.0 states/eV per cell; total magnetization = 0.000 μB per formula unit; density = 6.94 g/cm³; crystal system = tetragonal
1.0
-3.7526 0.2728 2.0713
-0.4047 -4.2725 -0.1706
2.9932 -2.8518 10.2515
Cs Nb Zr
2 4 2
direct
0.0000 0.0000 0.0000
0.7500 0.2500 0.5000
0.5934 0.1250 0.2500
0.1566 0.6250 0.2500
0.3750 0.4066 0.7500
0.8750 0.8434 0.7500
0.5000 0.5000 0.0000
0.2500 0.7500 0.5000

Preferred: one); penalty for the next structure: 0.159 eV/atom.

one) CsNdP4O12 GGA-PBE relaxed; N(E_F) = 0.0 states/eV per cell; total magnetization = 0.000 μB per formula unit; density = 3.23 g/cm³; crystal system = monoclinic
1.0
13.3418 0.0020 0.0015
-4.4483 12.5784 0.0015
4.4477 6.2916 10.8927
Cs Nd P O
6 6 24 72
direct
0.7627 0.4973 0.5050
0.0045 0.0021 0.2327
0.7326 0.2348 0.2625
0.4973 0.7627 0.0050
0.0021 0.0045 0.7327
0.2348 0.7326 0.7625
0.6217 0.8730 0.2516
0.8730 0.6217 0.7516
0.3744 0.2515 0.3728
0.1257 0.7503 0.1255
0.7503 0.1257 0.6255
0.2515 0.3744 0.8728
0.7591 0.0804 0.9145
0.4949 0.6744 0.5852
0.7407 0.8260 0.6803
0.0069 0.4191 0.8194
0.0804 0.7591 0.4145
0.6744 0.4949 0.0852
0.8260 0.7407 0.1803
0.4191 0.0069 0.3194
0.5796 0.5854 0.2409
0.1733 0.9131 0.5065
0.3261 0.8212 0.2599
0.9207 0.6803 0.9945
0.2599 0.0856 0.9198
0.9946 0.4144 0.3261
0.2392 0.3199 0.1735
0.5058 0.1793 0.5793
0.0856 0.2599 0.4198
0.4144 0.9946 0.8261
0.3199 0.2392 0.6735
0.1793 0.5058 0.0793
0.5854 0.5796 0.7409
0.9131 0.1733 0.0065
0.8212 0.3261 0.7599
0.6803 0.9207 0.4945
0.8898 0.1271 0.9137
0.5419 0.8041 0.5876
0.6099 0.6971 0.7625
0.9595 0.3693 0.7388
0.1271 0.8898 0.4137
0.8041 0.5419 0.0876
0.6971 0.6099 0.2625
0.3693 0.9595 0.2388
0.6295 0.5884 0.1088
0.3025 0.9120 0.4592
0.1972 0.7383 0.3908
0.8724 0.7630 0.0412
0.3908 0.0877 0.8708
0.0406 0.4132 0.1963
0.1074 0.2382 0.3027
0.4592 0.2618 0.6273
0.0877 0.3908 0.3708
0.4132 0.0406 0.6963
0.2382 0.1074 0.8027
0.2618 0.4592 0.1273
0.5884 0.6295 0.6088
0.9120 0.3025 0.9592
0.7383 0.1972 0.8908
0.7630 0.8724 0.5412
0.6583 0.9752 0.0400
0.5188 0.7016 0.4587
0.8418 0.8012 0.6833
0.9849 0.5235 0.8160
0.9752 0.6583 0.5400
0.7016 0.5188 0.9587
0.8012 0.8418 0.1833
0.5235 0.9849 0.3160
0.4775 0.4588 0.3405
0.1974 0.0386 0.4859
0.3001 0.8168 0.1595
0.0250 0.6837 0.0162
0.1592 0.9589 0.0240
0.0156 0.5403 0.3009
0.3391 0.3170 0.2000
0.4845 0.1822 0.4751
0.9589 0.1592 0.5240
0.5403 0.0156 0.8009
0.3170 0.3391 0.7000
0.1822 0.4845 0.9751
0.4588 0.4775 0.8405
0.0386 0.1974 0.9859
0.8168 0.3001 0.6595
0.6837 0.0250 0.5162
0.7830 0.0625 0.8057
0.3692 0.5904 0.6953
0.7172 0.9114 0.7214
0.1326 0.4366 0.7826
0.0625 0.7830 0.3057
0.5904 0.3692 0.1953
0.9114 0.7172 0.2214
0.4366 0.1326 0.2826
0.5643 0.6956 0.2151
0.0880 0.8039 0.6329
0.4146 0.7836 0.2790
0.9390 0.7219 0.8677
0.2789 0.1932 0.9381
0.8678 0.3058 0.4112
0.2132 0.2789 0.0891
0.6324 0.2206 0.5618
0.1932 0.2789 0.4381
0.3058 0.8678 0.9112
0.2789 0.2132 0.5891
0.2206 0.6324 0.0618
0.6956 0.5643 0.7151
0.8039 0.0880 0.1329
0.7836 0.4146 0.7790
0.7219 0.9390 0.3677

two) CsNdP4O12 GGA-PBE relaxed; N(E_F) = 0.0 states/eV per cell; total magnetization = 0.000 μB per formula unit; density = 3.70 g/cm³; crystal system = monoclinic
1.0
-5.4984 -6.5980 3.2105
-0.3366 -4.4316 -9.6841
8.8184 -4.6916 5.4607
Cs Nd P O
4 4 16 48
direct
0.4347 0.6885 0.4618
0.9347 0.8115 0.0382
0.5653 0.3115 0.5382
0.0653 0.1885 0.9618
0.2746 0.5017 0.8173
0.2254 0.0017 0.3173
0.7746 0.9983 0.6827
0.7254 0.4983 0.1827
0.1751 0.9622 0.6361
0.4678 0.2493 0.2151
0.8249 0.0378 0.3639
0.1025 0.3236 0.5251
0.5322 0.7507 0.7849
0.4077 0.1453 0.7579
0.8975 0.6764 0.4749
0.5923 0.8547 0.2421
0.9077 0.3547 0.7421
0.3249 0.4622 0.1361
0.0923 0.6453 0.2579
0.3975 0.8236 0.0251
0.6025 0.1764 0.9749
0.0322 0.7493 0.7151
0.9678 0.2507 0.2849
0.6751 0.5378 0.8639
0.0376 0.4018 0.8231
0.0356 0.0372 0.6697
0.5498 0.8313 0.1001
0.7052 0.0704 0.9067
0.9624 0.5982 0.1769
0.8997 0.3270 0.2076
0.4631 0.8567 0.9049
0.4502 0.1687 0.8999
0.9218 0.8523 0.7759
0.8255 0.2378 0.7547
0.0782 0.1477 0.2241
0.5376 0.0982 0.6769
0.1612 0.8173 0.6560
0.2435 0.9418 0.5125
0.2948 0.9296 0.0933
0.2052 0.4296 0.5933
0.5782 0.3523 0.2759
0.7935 0.4753 0.7561
0.0369 0.3567 0.4049
0.2565 0.4418 0.0125
0.3255 0.2622 0.7453
0.5369 0.1433 0.0951
0.7565 0.0582 0.4875
0.8420 0.8145 0.5146
0.1580 0.1855 0.4854
0.7948 0.5704 0.4067
0.7065 0.9753 0.2561
0.6612 0.6827 0.8440
0.8388 0.1827 0.3440
0.2065 0.5247 0.2439
0.6580 0.3145 0.0146
0.6003 0.8270 0.7076
0.3420 0.6855 0.9854
0.6745 0.7378 0.2547
0.3997 0.1730 0.2924
0.3388 0.3173 0.1560
0.7435 0.5582 0.9875
0.4624 0.9018 0.3231
0.2935 0.0247 0.7439
0.1003 0.6730 0.7924
0.4644 0.5372 0.1697
0.9502 0.3313 0.6001
0.9644 0.9628 0.3303
0.0498 0.6687 0.3999
0.1745 0.7622 0.2453
0.4218 0.6477 0.7241
0.5356 0.4628 0.8303
0.9631 0.6433 0.5951

Preferred: one); penalty for the next structure: 0.011 eV/atom.